No. 1
Compound: InTcPt2W
Source: Alexandria via LeMat-Bulk
Functional: PBE
Structure: relaxed

a b c (Å): 4.892 4.892 5.029
angles (deg): 90.00 90.00 90.00
Space group P4/mmm (No. 123)
Asymmetric unit:
1 In 0.000 0.000 0.000 [1 per cell]
2 Tc 0.500 0.500 0.500 [1 per cell]
3 Pt 0.000 0.500 0.000 [2 per cell]
4 W 0.000 0.000 0.500 [1 per cell]

For the density of states at the Fermi level, the calculation gives 4.43 states/eV/cell. The value obtained for the formation energy is 2.139 eV per atom.


No. 2
Compound: RbRe
Source: Alexandria via LeMat-Bulk
Functional: PBE
Structure: relaxed

a b c (Å): 10.008 10.008 10.008
angles (deg): 90.00 90.00 90.00
Space group Pm-3n (No. 223)
Asymmetric unit:
1 Rb 0.000 0.250 0.500 [6 per cell]
2 Re 0.000 0.500 0.250 [6 per cell]

Its energy above the lowest structure with this stoichiometry is 2692 meV per atom. For the density of states at the Fermi level, the calculation gives 20.52 states/eV/cell. The value obtained for the formation energy is 3.409 eV per atom.


No. 3
Compound: AcCe2Ru
Source: Alexandria via LeMat-Bulk
Functional: PBE
Structure: relaxed

a b c (Å): 14.567 9.743 6.513
angles (deg): 90.00 90.00 90.00
Space group Pnma (No. 62)
Asymmetric unit:
1 Ac 0.101 0.250 0.234 [4 per cell]
2 Ac 0.147 0.750 0.960 [4 per cell]
3 Ce 0.040 0.064 0.736 [8 per cell]
4 Ce 0.211 0.567 0.440 [8 per cell]
5 Ru 0.082 0.750 0.467 [4 per cell]
6 Ru 0.168 0.250 0.735 [4 per cell]

Its energy above the lowest structure with this stoichiometry is 0 meV per atom. For the density of states at the Fermi level, the calculation gives 71.99 states/eV/cell. The value obtained for the formation energy is -0.184 eV per atom.


No. 4
Compound: PrTlCu
Source: Alexandria via LeMat-Bulk
Functional: PBE
Structure: relaxed

a b c (Å): 4.6908 4.6908 24.1714
angles (deg): 90.00 90.00 120.00
Space group R-3m (No. 166, hexagonal axes)
Asymmetric unit:
1 Pr 0.0000 0.0000 0.2453 [6 per cell]
2 Tl 0.0000 0.0000 0.0000 [3 per cell]
3 Tl 0.0000 0.0000 0.5000 [3 per cell]
4 Cu 0.0000 0.0000 0.3702 [6 per cell]

For the density of states at the Fermi level, the calculation gives 19.78 states/eV/cell. The value obtained for the formation energy is -0.165 eV per atom.


No. 5
Compound: SrCd12Cu4
Source: Alexandria via LeMat-Bulk
Functional: PBE
Structure: relaxed

a b c (Å): 9.391 9.391 9.391
angles (deg): 90.00 90.00 90.00
Space group Im-3 (No. 204)
Asymmetric unit:
1 Sr 0.000 0.000 0.000 [2 per cell]
2 Cd 0.000 0.164 0.344 [24 per cell]
3 Cu 0.250 0.250 0.250 [8 per cell]

For the density of states at the Fermi level, the calculation gives 14.27 states/eV/cell. The value obtained for the formation energy is 0.112 eV per atom.


No. 6
Compound: CaPa2BeO8
Source: Alexandria via LeMat-Bulk
Functional: PBE
Structure: relaxed

a b c (Å): 4.8458 4.8458 7.0622
angles (deg): 90.00 90.00 120.00
Space group P-3m1 (No. 164)
Asymmetric unit:
1 Ca 0.0000 0.0000 0.0000 [1 per cell]
2 Pa 0.3333 0.6667 0.3445 [2 per cell]
3 Be 0.0000 0.0000 0.5000 [1 per cell]
4 O 0.1657 0.3314 0.6557 [6 per cell]
5 O 0.3333 0.6667 0.0712 [2 per cell]

For the density of states at the Fermi level, the calculation gives 3.34 states/eV/cell. The calculation puts the uncorrected formation energy at -2.61 eV per atom.


No. 7
Compound: Ba2ThTe5Pb
Source: Alexandria via LeMat-Bulk
Functional: PBE
Structure: relaxed

a b c (Å): 4.739 20.006 15.669
angles (deg): 90.00 90.00 90.00
Space group Cmc2_1 (No. 36)
Asymmetric unit:
1 Ba 0.000 0.088 0.000 [4 per cell]
2 Ba 0.000 0.132 0.645 [4 per cell]
3 Th 0.000 0.225 0.372 [4 per cell]
4 Te 0.000 0.075 0.417 [4 per cell]
5 Te 0.000 0.265 0.009 [4 per cell]
6 Te 0.000 0.298 0.740 [4 per cell]
7 Te 0.000 0.378 0.332 [4 per cell]
8 Te 0.000 0.492 0.103 [4 per cell]
9 Pb 0.000 0.452 0.791 [4 per cell]

The calculation puts the uncorrected formation energy at -1.24 eV per atom.


No. 8
Compound: RbMgCl
Source: Alexandria via LeMat-Bulk
Functional: PBE
Structure: relaxed

a b c (Å): 4.009 4.457 12.179
angles (deg): 89.95 80.53 89.99
Space group P1 (No. 1)
Asymmetric unit:
1 Rb 0.000 0.000 0.000 [1 per cell]
2 Rb 0.169 0.500 0.661 [1 per cell]
3 Mg 0.366 0.513 0.264 [1 per cell]
4 Mg 0.824 0.013 0.348 [1 per cell]
5 Cl 0.559 0.500 0.882 [1 per cell]
6 Cl 0.721 0.001 0.556 [1 per cell]

Its energy above the lowest structure with this stoichiometry is 7 meV per atom. For the density of states at the Fermi level, the calculation gives 1.34 states/eV/cell. The calculation puts the uncorrected formation energy at -1.04 eV per atom.


No. 9
Compound: TaSbTe2Ir
Source: Alexandria via LeMat-Bulk
Functional: PBE
Structure: relaxed

a b c (Å): 5.242 5.242 5.320
angles (deg): 90.00 90.00 90.00
Space group P4/mmm (No. 123)
Asymmetric unit:
1 Ta 0.000 0.000 0.000 [1 per cell]
2 Sb 0.000 0.000 0.500 [1 per cell]
3 Te 0.000 0.500 0.000 [2 per cell]
4 Ir 0.500 0.500 0.500 [1 per cell]

Its energy above the lowest structure with this stoichiometry is 102 meV per atom. For the density of states at the Fermi level, the calculation gives 7.03 states/eV/cell. The calculation puts the uncorrected formation energy at 1.22 eV per atom.


No. 10
Compound: Nd6HgRh2
Source: Alexandria via LeMat-Bulk
Functional: PBE
Structure: relaxed

a b c (Å): 9.585 10.052 10.664
angles (deg): 90.00 90.00 90.00
Space group Immm (No. 71)
Asymmetric unit:
1 Nd 0.000 0.200 0.233 [8 per cell]
2 Nd 0.194 0.500 0.170 [8 per cell]
3 Nd 0.210 0.321 0.500 [8 per cell]
4 Hg 0.000 0.000 0.000 [2 per cell]
5 Hg 0.000 0.000 0.500 [2 per cell]
6 Rh 0.000 0.338 0.000 [4 per cell]
7 Rh 0.000 0.500 0.367 [4 per cell]

Its energy above the lowest structure with this stoichiometry is 0 meV per atom. For the density of states at the Fermi level, the calculation gives 33.60 states/eV/cell. The value obtained for the formation energy is -0.467 eV per atom.


No. 11
Compound: Gd2FeOs
Source: Alexandria via LeMat-Bulk
Functional: PBE
Structure: relaxed

a b c (Å): 3.417 3.417 7.150
angles (deg): 90.00 90.00 90.00
Space group P4/mmm (No. 123)
Asymmetric unit:
1 Gd 0.000 0.000 0.239 [2 per cell]
2 Fe 0.500 0.500 0.500 [1 per cell]
3 Os 0.500 0.500 0.000 [1 per cell]

For the density of states at the Fermi level, the calculation gives 6.40 states/eV/cell. The value obtained for the formation energy is 0.128 eV per atom.


No. 12
Compound: Co2AgAs
Source: Alexandria via LeMat-Bulk
Functional: PBE
Structure: relaxed

a b c (Å): 2.8081 2.8081 25.9796
angles (deg): 90.00 90.00 120.00
Space group R3m (No. 160, hexagonal axes)
Asymmetric unit:
1 Co 0.0000 0.0000 0.0000 [3 per cell]
2 Co 0.0000 0.0000 0.2620 [3 per cell]
3 Ag 0.0000 0.0000 0.5084 [3 per cell]
4 As 0.0000 0.0000 0.7347 [3 per cell]

For the density of states at the Fermi level, the calculation gives 9.94 states/eV/cell. The value obtained for the formation energy is 0.281 eV per atom.